Arrangement 1

! NaBe3Te, relaxed, DFT PBE-GGA; values from VASP
! - volume (Å³ per cell) = 100
&SYSTEM
  ibrav = 0, nat = 5, ntyp = 3
/
ATOMIC_SPECIES
Na 22.99 Na.upf
Be 9.01 Be.upf
Te 127.60 Te.upf
CELL_PARAMETERS angstrom
4.646 0.000 0.000
0.000 4.646 0.000
0.000 0.000 4.646
ATOMIC_POSITIONS crystal
Na 0.000 0.000 0.000
Be 0.000 0.000 0.500
Be 0.000 0.500 0.000
Be 0.500 0.000 0.000
Te 0.500 0.500 0.500



Arrangement 2

! NaBe3Te, relaxed, DFT PBE-GGA; values from VASP
! - volume (Å³ per cell) = 117
&SYSTEM
  ibrav = 0, nat = 5, ntyp = 3
/
ATOMIC_SPECIES
Na 22.99 Na.upf
Be 9.01 Be.upf
Te 127.60 Te.upf
CELL_PARAMETERS angstrom
4.897 0.000 0.000
0.000 4.897 0.000
0.000 0.000 4.897
ATOMIC_POSITIONS crystal
Na 0.000 0.000 0.000
Be 0.000 0.500 0.500
Be 0.500 0.000 0.500
Be 0.500 0.500 0.000
Te 0.500 0.500 0.500



Energy relative to the most stable one, in eV/atom: arrangement 1 0.479; arrangement 2 0.000



Arrangement 1

! NaTiBe3, relaxed, DFT PBE-GGA; values from VASP
! - volume (Å³ per cell) = 105
&SYSTEM
  ibrav = 0, nat = 5, ntyp = 3
/
ATOMIC_SPECIES
Na 22.99 Na.upf
Ti 47.87 Ti.upf
Be 9.01 Be.upf
CELL_PARAMETERS angstrom
4.724 0.000 0.000
0.000 4.724 0.000
0.000 0.000 4.724
ATOMIC_POSITIONS crystal
Na 0.000 0.000 0.000
Ti 0.500 0.500 0.500
Be 0.000 0.500 0.500
Be 0.500 0.000 0.500
Be 0.500 0.500 0.000



Arrangement 2

! NaTiBe3, relaxed, DFT PBE-GGA; values from VASP
! - volume (Å³ per cell) = 71
&SYSTEM
  ibrav = 0, nat = 5, ntyp = 3
/
ATOMIC_SPECIES
Na 22.99 Na.upf
Ti 47.87 Ti.upf
Be 9.01 Be.upf
CELL_PARAMETERS angstrom
4.138 0.000 0.000
0.000 4.138 0.000
0.000 0.000 4.138
ATOMIC_POSITIONS crystal
Na 0.000 0.000 0.000
Ti 0.500 0.500 0.500
Be 0.000 0.000 0.500
Be 0.000 0.500 0.000
Be 0.500 0.000 0.000



Energy relative to the most stable one, in eV/atom: arrangement 1 0.000; arrangement 2 0.069



Arrangement 1

! NaBeTl3, relaxed, DFT PBE-GGA; values from VASP
! - volume (Å³ per cell) = 177
&SYSTEM
  ibrav = 0, nat = 5, ntyp = 3
/
ATOMIC_SPECIES
Na 22.99 Na.upf
Be 9.01 Be.upf
Tl 204.38 Tl.upf
CELL_PARAMETERS angstrom
5.613 0.000 0.000
0.000 5.613 0.000
0.000 0.000 5.613
ATOMIC_POSITIONS crystal
Na 0.000 0.000 0.000
Be 0.500 0.500 0.500
Tl 0.000 0.000 0.500
Tl 0.000 0.500 0.000
Tl 0.500 0.000 0.000



Arrangement 2

! NaBeTl3, relaxed, DFT PBE-GGA; values from VASP
! - volume (Å³ per cell) = 136
&SYSTEM
  ibrav = 0, nat = 5, ntyp = 3
/
ATOMIC_SPECIES
Na 22.99 Na.upf
Be 9.01 Be.upf
Tl 204.38 Tl.upf
CELL_PARAMETERS angstrom
5.139 0.000 0.000
0.000 5.139 0.000
0.000 0.000 5.139
ATOMIC_POSITIONS crystal
Na 0.000 0.000 0.000
Be 0.500 0.500 0.500
Tl 0.000 0.500 0.500
Tl 0.500 0.000 0.500
Tl 0.500 0.500 0.000



Energy relative to the most stable one, in eV/atom: arrangement 1 0.720; arrangement 2 0.000